DFT (PBE-GGA) results for a relaxed structure of YB2Ir2.

- Calculated density: 11.7 g/cm3
- Calculated volume: 140.92 Å³/cell
- Calculated total energy: -8.192 eV per atom

```
data_YB2Ir2
_symmetry_space_group_name_H-M 'I 4/m m m'
_symmetry_Int_Tables_number 139
_symmetry_space_group_name_Hall '-I 4 2'
_cell_length_a 3.866
_cell_length_b 3.866
_cell_length_c 9.427
_cell_angle_alpha 90.00
_cell_angle_beta 90.00
_cell_angle_gamma 90.00
loop_
_atom_site_label
_atom_site_fract_x
_atom_site_fract_y
_atom_site_fract_z
Y1 0.000 0.000 0.000
B1 0.000 0.000 0.358
Ir1 0.000 0.500 0.250
```

***

DFT (PBE-GGA) results for a relaxed structure of HfZnNO.

- Calculated density: 10.3 g/cm3
- Calculated volume: 44.27 Å³/cell
- ΔE to the lowest computed polymorph: 30.6 meV/atom

```
data_HfZnNO
_symmetry_space_group_name_H-M 'P 4/m m m'
_symmetry_Int_Tables_number 123
_symmetry_space_group_name_Hall '-P 4 2'
_cell_length_a 3.176
_cell_length_b 3.176
_cell_length_c 4.390
_cell_angle_alpha 90.00
_cell_angle_beta 90.00
_cell_angle_gamma 90.00
loop_
_atom_site_label
_atom_site_fract_x
_atom_site_fract_y
_atom_site_fract_z
Hf1 0.000 0.000 0.000
Zn1 0.500 0.500 0.500
N1 0.500 0.500 0.000
O1 0.000 0.000 0.500
```

***

DFT (PBE-GGA) results for a relaxed structure of CsYHgO3.

- Calculated density: 6.3 g/cm3
- Calculated volume: 496.47 Å³/cell
- Calculated total energy: -5.610 eV per atom

```
data_CsYHgO3
_symmetry_space_group_name_H-M 'C m c m'
_symmetry_Int_Tables_number 63
_symmetry_space_group_name_Hall '-C 2c 2'
_cell_length_a 3.670
_cell_length_b 14.914
_cell_length_c 9.071
_cell_angle_alpha 90.00
_cell_angle_beta 90.00
_cell_angle_gamma 90.00
loop_
_atom_site_label
_atom_site_fract_x
_atom_site_fract_y
_atom_site_fract_z
Cs1 0.000 0.187 0.250
Y1 0.000 0.500 0.000
Hg1 0.000 0.100 0.750
O1 0.000 0.098 0.524
O2 0.000 0.475 0.750
```

***

DFT (PBE-GGA) results for a relaxed structure of TbCoI.

- Calculated density: 6.8 g/cm3
- Calculated volume: 335.82 Å³/cell
- Calculated total energy: -5.220 eV per atom

```
data_TbCoI
_symmetry_space_group_name_H-M 'C 1 2/m 1'
_symmetry_Int_Tables_number 12
_cell_length_a 6.896
_cell_length_b 3.981
_cell_length_c 12.454
_cell_angle_alpha 90.00
_cell_angle_beta 100.84
_cell_angle_gamma 90.00
loop_
_symmetry_equiv_pos_as_xyz
'x,y,z'
'-x,-y,-z'
'-x,y,-z'
'x,-y,z'
'x+1/2,y+1/2,z'
'-x+1/2,-y+1/2,-z'
'-x+1/2,y+1/2,-z'
'x+1/2,-y+1/2,z'
loop_
_atom_site_label
_atom_site_fract_x
_atom_site_fract_y
_atom_site_fract_z
Tb1 0.051 0.000 0.150
Co1 0.165 0.500 0.996
I1 0.222 0.000 0.673
```

***

DFT (PBE-GGA) results for a relaxed structure of Pr2SnO5.

- Calculated density: 7.6 g/cm3
- Calculated volume: 211.00 Å³/cell
- Calculated total energy: -7.485 eV per atom

```
data_Pr2SnO5
_symmetry_space_group_name_H-M 'P b a m'
_symmetry_Int_Tables_number 55
_cell_length_a 6.480
_cell_length_b 9.656
_cell_length_c 3.372
_cell_angle_alpha 90.00
_cell_angle_beta 90.00
_cell_angle_gamma 90.00
loop_
_symmetry_equiv_pos_as_xyz
'x,y,z'
'-x,-y,-z'
'-x,-y,z'
'x,y,-z'
'x+1/2,-y+1/2,-z'
'-x+1/2,y+1/2,z'
'-x+1/2,y+1/2,-z'
'x+1/2,-y+1/2,z'
loop_
_atom_site_label
_atom_site_fract_x
_atom_site_fract_y
_atom_site_fract_z
Pr1 0.053 0.168 0.000
Sn1 0.000 0.500 0.500
O1 0.000 0.000 0.500
O2 0.152 0.692 0.500
O3 0.171 0.422 0.000
```

***

DFT (PBE-GGA) results for a relaxed structure of Tb2PrSb3.

- Calculated density: 7.3 g/cm3
- Calculated volume: 187.03 Å³/cell
- Calculated total energy: -5.561 eV per atom

```
data_Tb2PrSb3
_symmetry_space_group_name_H-M 'P -3 m 1'
_symmetry_Int_Tables_number 164
_symmetry_space_group_name_Hall '-P 3 2"'
_cell_length_a 4.4494
_cell_length_b 4.4494
_cell_length_c 10.9088
_cell_angle_alpha 90.00
_cell_angle_beta 90.00
_cell_angle_gamma 120.00
loop_
_atom_site_label
_atom_site_fract_x
_atom_site_fract_y
_atom_site_fract_z
Tb1 0.3333 0.6667 0.3373
Pr1 0.0000 0.0000 0.0000
Sb1 0.0000 0.0000 0.5000
Sb2 0.3333 0.6667 0.8252
```